VASP calculation (PBE) on a geometry-optimized Nd2NiPd structure.

a b c (Å): 5.051 5.051 5.051
angles (deg): 60.00 60.00 60.00
Fractional positions:
Ni: 0.500 0.500 0.500
Pd: 0.000 0.000 0.000
Nd: 0.750 0.750 0.750
Nd: 0.250 0.250 0.250

Calculated values
E_form ... -0.463 eV/atom
Size of the total moment ... 0.00 μB/f.u.
Mass density ... 8.26 g cm⁻³
Relative energy among the computed polymorphs ... 87 meV/atom

VASP calculation (PBE) on a geometry-optimized NdNiPd structure.

a b c (Å): 3.860 4.286 4.286
angles (deg): 120.00 90.00 90.00
Fractional positions:
Pd: 0.166 0.000 0.000
Ni: 0.167 0.333 0.667
Nd: 0.667 0.667 0.333

Calculated values
E_form ... -0.502 eV/atom
Size of the total moment ... 0.00 μB/f.u.
Mass density ... 8.37 g cm⁻³

VASP calculation (PBE) on a geometry-optimized Nd3NiPd structure.

a b c (Å): 3.988 8.217 8.256
angles (deg): 85.43 90.02 104.05
Fractional positions:
Ni: 0.239 0.510 0.647
Nd: 0.789 0.612 0.403
Nd: 0.255 0.542 0.019
Nd: 0.966 0.965 0.024
Nd: 0.419 0.870 0.658
Ni: 0.805 0.644 0.774
Pd: 0.431 0.895 0.286
Nd: 0.625 0.284 0.764
Pd: 0.613 0.259 0.136
Nd: 0.078 0.189 0.397

Calculated values
E_form ... -0.418 eV/atom
Size of the total moment ... 0.00 μB/f.u.
Mass density ... 7.59 g cm⁻³
Relative energy among the computed polymorphs ... 18 meV/atom

> What is the E_form in the second record?

-0.502 eV/atom

Repeat the second record exactly.
VASP calculation (PBE) on a geometry-optimized NdNiPd structure.

a b c (Å): 3.860 4.286 4.286
angles (deg): 120.00 90.00 90.00
Fractional positions:
Pd: 0.166 0.000 0.000
Ni: 0.167 0.333 0.667
Nd: 0.667 0.667 0.333

Calculated values
E_form ... -0.502 eV/atom
Size of the total moment ... 0.00 μB/f.u.
Mass density ... 8.37 g cm⁻³

> The lowest mass density belongs to which entry?

Nd3NiPd